Record 1
The following is a GGA-PBE calculation of an optimized crystal structure of SrTmAgSe3, from the Open Quantum Materials Database.

## Properties
DFT total energy   -4.733 eV per atom

Lattice parameters (Å, degrees): 9.230 9.230 8.632 102.54 102.54 25.67
Fractional positions:
Sr1 0.132 0.132 0.073
Sr2 0.868 0.868 0.927
Tm1 0.165 0.165 0.588
Tm2 0.835 0.835 0.412
Ag1 0.471 0.471 0.287
Ag2 0.529 0.529 0.713
Se1 0.000 0.000 0.500
Se2 0.316 0.316 0.177
Se3 0.328 0.328 0.636
Se4 0.500 0.500 0.000
Se5 0.672 0.672 0.364
Se6 0.684 0.684 0.823

---

Record 2
The following is a GGA-PBE calculation of an optimized crystal structure of AlAgW, from the Open Quantum Materials Database.

## Properties
E above lowest polymorph   0.0000 eV/atom

Lattice parameters (Å, degrees): 4.266 4.266 4.266 60.00 60.00 60.00
Fractional positions:
Al1 0.000 0.000 0.000
Ag1 0.750 0.750 0.750
W1 0.250 0.250 0.250

---

Record 3
The following is a GGA-PBE calculation of an optimized crystal structure of CuTc2Hg2, from the Open Quantum Materials Database.

## Properties
Energy of formation from the pure elements   609 meV/atom

Lattice parameters (Å, degrees): 7.929 5.527 9.125 59.66 36.98 83.36
Fractional positions:
Cu1 0.000 0.000 0.000
Cu2 0.250 0.250 0.250
Tc1 0.065 0.467 0.007
Tc2 0.243 0.789 0.185
Tc3 0.467 0.065 0.461
Tc4 0.789 0.243 0.783
Hg1 0.384 0.623 0.425
Hg2 0.623 0.384 0.567
Hg3 0.683 0.825 0.627
Hg4 0.825 0.683 0.866